Material: Nb2CuI
Method: DFT, PBE
State: optimized geometry

Properties
formation energy without anion corrections = 0.587 eV per atom
total magnetic moment = 0.00 μB per formula unit
relative energy among the computed polymorphs = 0.0 meV per atom

CIF file:
```
data_Nb2CuI
_cell_length_a 4.660
_cell_length_b 4.660
_cell_length_c 4.660
_cell_angle_alpha 60.00
_cell_angle_beta 60.00
_cell_angle_gamma 60.00
_symmetry_space_group_name_H-M 'P 1'
_symmetry_Int_Tables_number 1
loop_
_symmetry_equiv_pos_as_xyz
'x,y,z'
loop_
_atom_site_label
_atom_site_type_symbol
_atom_site_fract_x
_atom_site_fract_y
_atom_site_fract_z
Nb1 Nb 0.250 0.250 0.250
Nb2 Nb 0.750 0.750 0.750
I1 I 0.500 0.500 0.500
Cu1 Cu 0.000 0.000 0.000
```